8
Lattice="5.331 0.000 0.000 2.666 4.617 0.000 2.666 1.539 8.763" Properties=species:S:1:pos:R:3 comment="PBE Tb2SmScTl4, optimized geometry" final_energy_ev_per_cell=-32.4 e_form_mev_per_atom=-323 magnetic_moment_mub_per_fu=0.000 pbc="T T T"
Tb 7.997 4.617 6.529
Tb 2.666 1.539 2.234
Sm 0.000 0.000 0.000
Sc 5.331 3.078 4.382
Tl 5.331 3.078 7.602
Tl 7.997 4.617 3.341
Tl 2.666 1.539 5.422
Tl 5.331 3.078 1.161